(1)
## Ac2LaPr4Sm2 (PBE)

Data for Ac2LaPr4Sm2 after structural relaxation.

## Properties
**DFT total energy**: -41.45 eV per formula unit
**Density of states at the Fermi level**: 1.381 states/eV per atom
**Formation enthalpy at 0 K**: 0.0282 eV/atom

abc: 19.645 3.803 10.113
angles: 90.00 115.53 90.00
Space group C2/m (No. 12)
Inequivalent atoms, fractional coordinates:
Ac1 0.148 0.000 0.169 [4 per cell]
La1 0.000 0.000 0.500 [2 per cell]
Pr1 0.018 0.500 0.825 [4 per cell]
Pr2 0.183 0.000 0.828 [4 per cell]
Sm1 0.167 0.500 0.505 [4 per cell]

(2)
## LiCeCdAu (PBE)

Data for LiCeCdAu after structural relaxation.

## Properties
**DFT total energy**: -13.61 eV per formula unit
**ΔE to the lowest computed polymorph**: 0 meV per atom
**Density of states at the Fermi level**: 1.694 states/eV per atom
**Formation enthalpy at 0 K**: -0.3924 eV/atom

abc: 3.364 3.364 7.486
angles: 90.00 90.00 90.00
Space group P4mm (No. 99)
Inequivalent atoms, fractional coordinates:
Li1 0.000 0.000 0.000 [1 per cell]
Ce1 0.000 0.000 0.542 [1 per cell]
Cd1 0.500 0.500 0.220 [1 per cell]
Au1 0.500 0.500 0.815 [1 per cell]

(3)
## CaGa6Ni6 (PBE)

Data for CaGa6Ni6 after structural relaxation.

## Properties
**DFT total energy**: -60.42 eV per formula unit
**Density of states at the Fermi level**: 0.521 states/eV per atom
**Formation enthalpy at 0 K**: -0.4287 eV/atom

abc: 5.023 8.261 8.722
angles: 90.00 90.00 90.00
Space group Immm (No. 71)
Inequivalent atoms, fractional coordinates:
Ca1 0.000 0.000 0.000 [2 per cell]
Ga1 0.000 0.000 0.344 [4 per cell]
Ga2 0.000 0.340 0.000 [4 per cell]
Ga3 0.000 0.500 0.317 [4 per cell]
Ni1 0.000 0.259 0.500 [4 per cell]
Ni2 0.250 0.250 0.250 [8 per cell]

(4)
## Zr3TlZn (PBE)

Data for Zr3TlZn after structural relaxation.

## Properties
**DFT total energy**: -23.21 eV per formula unit
**ΔE to the lowest computed polymorph**: 1090 meV per atom
**Density of states at the Fermi level**: 1.183 states/eV per atom
**Formation enthalpy at 0 K**: 1.2159 eV/atom

abc: 5.330 5.330 5.330
angles: 90.00 90.00 90.00
Space group Pm-3m (No. 221)
Inequivalent atoms, fractional coordinates:
Zr1 0.000 0.000 0.500 [3 per cell]
Tl1 0.000 0.000 0.000 [1 per cell]
Zn1 0.500 0.500 0.500 [1 per cell]

(5)
## PmMgTlSn (PBE)

Data for PmMgTlSn after structural relaxation.

## Properties
**DFT total energy**: -14.45 eV per formula unit
**ΔE to the lowest computed polymorph**: 0 meV per atom
**Density of states at the Fermi level**: 0.415 states/eV per atom
**Formation enthalpy at 0 K**: -0.4352 eV/atom

abc: 4.479 4.732 4.932
angles: 90.00 90.00 90.00
Space group Pmmm (No. 47)
Inequivalent atoms, fractional coordinates:
Pm1 0.000 0.000 0.000 [1 per cell]
Mg1 0.000 0.500 0.500 [1 per cell]
Tl1 0.500 0.000 0.500 [1 per cell]
Sn1 0.500 0.500 0.000 [1 per cell]